[1]
# AcDy5Tm4

A relaxed AcDy5Tm4 crystal (PBE, the Alexandria database).

Cell: 17.197 3.572 10.917 Å, 90.00 90.50 90.00°
Space group C2/m (No. 12)
Unique sites:
1 Ac 0.000 0.000 0.000 (multiplicity 2)
2 Dy 0.000 0.000 0.500 (multiplicity 2)
3 Dy 0.173 0.500 0.550 (multiplicity 4)
4 Dy 0.177 0.500 0.941 (multiplicity 4)
5 Tm 0.025 0.500 0.742 (multiplicity 4)
6 Tm 0.150 0.000 0.250 (multiplicity 4)


[2]
# AcDy7Tm2

A relaxed AcDy7Tm2 crystal (PBE, the Alexandria database).

Cell: 18.252 5.448 7.089 Å, 90.00 112.82 90.00°
Space group C2/m (No. 12)
Unique sites:
1 Ac 0.000 0.000 0.000 (multiplicity 2)
2 Dy 0.000 0.000 0.500 (multiplicity 2)
3 Dy 0.112 0.500 0.367 (multiplicity 4)
4 Dy 0.112 0.500 0.857 (multiplicity 4)
5 Dy 0.203 0.000 0.204 (multiplicity 4)
6 Tm 0.199 0.000 0.699 (multiplicity 4)


[3]
# AcDy4Tm8

A relaxed AcDy4Tm8 crystal (PBE, the Alexandria database).

Cell: 10.055 6.963 12.297 Å, 90.00 104.57 90.00°
Space group C2/m (No. 12)
Unique sites:
1 Ac 0.000 0.000 0.000 (multiplicity 2)
2 Dy 0.000 0.257 0.500 (multiplicity 4)
3 Dy 0.215 0.500 0.353 (multiplicity 4)
4 Tm 0.089 0.263 0.788 (multiplicity 8)
5 Tm 0.152 0.500 0.062 (multiplicity 4)
6 Tm 0.195 0.000 0.348 (multiplicity 4)


[4]
# Ac4DyTm

A relaxed Ac4DyTm crystal (PBE, the Alexandria database).

Cell: 3.717 5.782 11.292 Å, 90.00 90.00 90.00°
Space group Pmmm (No. 47)
Unique sites:
1 Ac 0.000 0.000 0.156 (multiplicity 2)
2 Ac 0.000 0.500 0.343 (multiplicity 2)
3 Dy 0.500 0.000 0.500 (multiplicity 1)
4 Tm 0.500 0.500 0.000 (multiplicity 1)


Calculated total energy, respectively: -85.7; -89.4; -113.7; -24.5 eV/cell.
Energy of formation from the pure elements, respectively: 0.2175; 0.0549; 0.1098; 0.1756 eV per atom.